1.
First-principles (PBE) data for an optimized crystal structure of RbLiAlV2, as listed in Alexandria via LeMat-Bulk.

CIF file:
```
data_RbLiAlV2
_space_group_name_H-M_alt 'P 1'
_space_group_IT_number 1
_space_group_name_Hall 'P 1'
_cell_length_a 5.0070
_cell_length_b 4.3772
_cell_length_c 5.0070
_cell_angle_alpha 90.00
_cell_angle_beta 90.00
_cell_angle_gamma 90.00
loop_
_atom_site_label
_atom_site_type_symbol
_atom_site_fract_x
_atom_site_fract_y
_atom_site_fract_z
_atom_site_occupancy
Li1 Li 0.0000 0.5000 0.0000 1
Rb1 Rb 0.0000 0.0000 0.0000 1
V1 V 0.0000 0.0000 0.5000 1
V2 V 0.5000 0.0000 0.0000 1
Al1 Al 0.5000 0.5000 0.5000 1
```

Results
- raw total energy (Ha/atom) = -0.108
- calculated volume (A^3/atom) = 21.9
- space group = No. 123
- spin magnetization (μB/f.u.) = 6.2

---

2.
First-principles (PBE) data for an optimized crystal structure of RbLiYAl2, as listed in Alexandria via LeMat-Bulk.

CIF file:
```
data_RbLiYAl2
_space_group_name_H-M_alt 'P 1'
_space_group_IT_number 1
_space_group_name_Hall 'P 1'
_cell_length_a 5.6874
_cell_length_b 4.6280
_cell_length_c 5.6874
_cell_angle_alpha 90.00
_cell_angle_beta 90.00
_cell_angle_gamma 90.00
loop_
_atom_site_label
_atom_site_type_symbol
_atom_site_fract_x
_atom_site_fract_y
_atom_site_fract_z
_atom_site_occupancy
Rb1 Rb 0.0000 0.0000 0.0000 1
Y1 Y 0.5000 0.5000 0.5000 1
Al1 Al 0.5000 0.0000 0.0000 1
Al2 Al 0.0000 0.0000 0.5000 1
Li1 Li 0.0000 0.5000 0.0000 1
```

Results
- raw total energy (Ha/atom) = -0.085
- calculated volume (A^3/atom) = 29.9
- space group = No. 123
- spin magnetization (μB/f.u.) = 0.0

---

3.
First-principles (PBE) data for an optimized crystal structure of LiAl4Re, as listed in Alexandria via LeMat-Bulk.

CIF file:
```
data_LiAl4Re
_space_group_name_H-M_alt 'P 1'
_space_group_IT_number 1
_space_group_name_Hall 'P 1'
_cell_length_a 5.0395
_cell_length_b 5.0395
_cell_length_c 5.0395
_cell_angle_alpha 60.00
_cell_angle_beta 60.00
_cell_angle_gamma 60.00
loop_
_atom_site_label
_atom_site_type_symbol
_atom_site_fract_x
_atom_site_fract_y
_atom_site_fract_z
_atom_site_occupancy
Al1 Al 0.3750 0.3750 0.3750 1
Al2 Al 0.8750 0.3750 0.3750 1
Al3 Al 0.3750 0.3750 0.8750 1
Al4 Al 0.3750 0.8750 0.3750 1
Re1 Re 0.0000 0.0000 0.0000 1
Li1 Li 0.7500 0.7500 0.7500 1
```

Results
- raw total energy (Ha/atom) = -0.180
- calculated volume (A^3/atom) = 15.1
- space group = No. 216
- spin magnetization (μB/f.u.) = 0.0

---

4.
First-principles (PBE) data for an optimized crystal structure of Li2Al2Re, as listed in Alexandria via LeMat-Bulk.

CIF file:
```
data_Li2Al2Re
_space_group_name_H-M_alt 'P 1'
_space_group_IT_number 1
_space_group_name_Hall 'P 1'
_cell_length_a 4.7832
_cell_length_b 4.7832
_cell_length_c 4.9506
_cell_angle_alpha 90.00
_cell_angle_beta 90.00
_cell_angle_gamma 90.00
loop_
_atom_site_label
_atom_site_type_symbol
_atom_site_fract_x
_atom_site_fract_y
_atom_site_fract_z
_atom_site_occupancy
Li1 Li 0.5000 0.5000 0.5000 1
Li2 Li 0.0000 0.0000 0.5000 1
Re1 Re 0.0000 0.0000 0.0000 1
Al1 Al 0.5000 0.0000 0.0000 1
Al2 Al 0.0000 0.5000 0.0000 1
```

Results
- raw total energy (Ha/atom) = -0.155
- calculated volume (A^3/atom) = 22.7
- space group = No. 123
- spin magnetization (μB/f.u.) = 0.0

---

5.
First-principles (PBE) data for an optimized crystal structure of LiAlRe, as listed in Alexandria via LeMat-Bulk.

CIF file:
```
data_LiAlRe
_space_group_name_H-M_alt 'P 1'
_space_group_IT_number 1
_space_group_name_Hall 'P 1'
_cell_length_a 4.2708
_cell_length_b 4.2708
_cell_length_c 2.6180
_cell_angle_alpha 90.00
_cell_angle_beta 90.00
_cell_angle_gamma 120.00
loop_
_atom_site_label
_atom_site_type_symbol
_atom_site_fract_x
_atom_site_fract_y
_atom_site_fract_z
_atom_site_occupancy
Li1 Li 0.6667 0.3333 0.1668 1
Al1 Al 0.0000 0.0000 0.1664 1
Re1 Re 0.3333 0.6667 0.6669 1
```

Results
- raw total energy (Ha/atom) = -0.220
- calculated volume (A^3/atom) = 13.8
- space group = No. 187
- spin magnetization (μB/f.u.) = 0.0

---

6.
First-principles (PBE) data for an optimized crystal structure of LiAlRe, as listed in Alexandria via LeMat-Bulk.

CIF file:
```
data_LiAlRe
_space_group_name_H-M_alt 'P 1'
_space_group_IT_number 1
_space_group_name_Hall 'P 1'
_cell_length_a 4.2589
_cell_length_b 4.2589
_cell_length_c 7.2348
_cell_angle_alpha 72.88
_cell_angle_beta 72.88
_cell_angle_gamma 60.00
loop_
_atom_site_label
_atom_site_type_symbol
_atom_site_fract_x
_atom_site_fract_y
_atom_site_fract_z
_atom_site_occupancy
Re1 Re 0.1531 0.1531 0.5408 1
Re2 Re 0.8469 0.8469 0.4592 1
Li1 Li 0.7105 0.7105 0.8685 1
Li2 Li 0.2895 0.2895 0.1315 1
Al1 Al 0.5661 0.5661 0.3018 1
Al2 Al 0.4340 0.4340 0.6982 1
```

Results
- raw total energy (Ha/atom) = -0.220
- calculated volume (A^3/atom) = 17.8
- space group = No. 166
- spin magnetization (μB/f.u.) = 0.0

---

7.
First-principles (PBE) data for an optimized crystal structure of LiAl6Re2, as listed in Alexandria via LeMat-Bulk.

CIF file:
```
data_LiAl6Re2
_space_group_name_H-M_alt 'P 1'
_space_group_IT_number 1
_space_group_name_Hall 'P 1'
_cell_length_a 5.4027
_cell_length_b 8.8371
_cell_length_c 8.8371
_cell_angle_alpha 46.37
_cell_angle_beta 104.31
_cell_angle_gamma 104.31
loop_
_atom_site_label
_atom_site_type_symbol
_atom_site_fract_x
_atom_site_fract_y
_atom_site_fract_z
_atom_site_occupancy
Al1 Al 0.5835 0.5612 0.6013 1
Al2 Al 0.6615 0.6161 0.0257 1
Al3 Al 0.3249 0.9672 0.2318 1
Al4 Al 0.8385 0.9743 0.3839 1
Al5 Al 0.9165 0.3987 0.4388 1
Al6 Al 0.4165 0.4388 0.3987 1
Al7 Al 0.1615 0.0257 0.6161 1
Al8 Al 0.3385 0.3839 0.9743 1
Al9 Al 0.0835 0.6013 0.5612 1
Al10 Al 0.6751 0.0328 0.7682 1
Al11 Al 0.8249 0.2318 0.9672 1
Al12 Al 0.1751 0.7682 0.0328 1
Re1 Re 0.4575 0.8018 0.6288 1
Re2 Re 0.5425 0.1982 0.3712 1
Re3 Re 0.0425 0.3712 0.1982 1
Re4 Re 0.9575 0.6288 0.8018 1
Li1 Li 0.7500 0.8212 0.1788 1
Li2 Li 0.2500 0.1788 0.8212 1
```

Results
- raw total energy (Ha/atom) = -0.202
- calculated volume (A^3/atom) = 16.3
- space group = No. 15
- spin magnetization (μB/f.u.) = 0.0

---

8.
First-principles (PBE) data for an optimized crystal structure of LiAl2Re, as listed in Alexandria via LeMat-Bulk.

CIF file:
```
data_LiAl2Re
_space_group_name_H-M_alt 'P 1'
_space_group_IT_number 1
_space_group_name_Hall 'P 1'
_cell_length_a 4.5720
_cell_length_b 4.5720
_cell_length_c 5.1652
_cell_angle_alpha 84.87
_cell_angle_beta 84.87
_cell_angle_gamma 33.64
loop_
_atom_site_label
_atom_site_type_symbol
_atom_site_fract_x
_atom_site_fract_y
_atom_site_fract_z
_atom_site_occupancy
Li1 Li 0.7500 0.7500 0.7500 1
Al1 Al 0.5072 0.5072 0.4909 1
Al2 Al 0.9928 0.9928 0.0091 1
Re1 Re 0.2500 0.2500 0.2500 1
```

Results
- raw total energy (Ha/atom) = -0.203
- calculated volume (A^3/atom) = 14.9
- space group = No. 12
- spin magnetization (μB/f.u.) = 0.0